1.
Computed, not measured: a relaxed structure of LaSmTm2 at the PBE-GGA level of DFT.

Lattice parameters (Å, degrees): 6.501 6.496 6.497 97.03 83.59 83.59
Sites, in units of the cell vectors:
Sm: 0.971 0.283 0.779
Sm: 0.471 0.192 0.870
La: 0.722 0.237 0.324
La: 0.222 0.737 0.824
Tm: 0.177 0.487 0.282
Tm: 0.678 0.695 0.074
Tm: 0.266 0.988 0.366
Tm: 0.766 0.780 0.575

As for the energy above the lowest structure with this stoichiometry: 0.48 eV per formula unit. The density of states at the Fermi level is 1.800 states/eV/atom. Its total magnetization is 0.0 μB/f.u.


2.
Computed, not measured: a relaxed structure of La2Sm12Tm5 at the PBE-GGA level of DFT.

Lattice parameters (Å, degrees): 9.339 12.572 8.656 132.87 90.00 111.80
Sites, in units of the cell vectors:
Tm: 0.000 0.000 0.500
Tm: 0.302 0.603 0.617
Tm: 0.698 0.397 0.383
Tm: 0.230 0.461 0.888
Tm: 0.770 0.539 0.112
Sm: 0.093 0.185 0.304
Sm: 0.907 0.815 0.696
Sm: 0.183 0.750 0.406
Sm: 0.567 0.750 0.406
Sm: 0.435 0.871 0.203
Sm: 0.663 0.686 0.926
Sm: 0.977 0.314 0.074
Sm: 0.565 0.129 0.797
Sm: 0.433 0.250 0.594
Sm: 0.337 0.314 0.074
Sm: 0.023 0.686 0.926
Sm: 0.817 0.250 0.594
La: 0.320 0.000 0.000
La: 0.680 0.000 0.000

As for the energy above the lowest structure with this stoichiometry: 0.00 eV per formula unit. The density of states at the Fermi level is 1.423 states/eV/atom. Its total magnetization is 0.0 μB/f.u.


3.
Computed, not measured: a relaxed structure of LaSm6Tm3 at the PBE-GGA level of DFT.

Lattice parameters (Å, degrees): 9.885 9.885 6.965 44.80 44.80 60.00
Sites, in units of the cell vectors:
Tm: 0.155 0.155 0.536
Tm: 0.400 0.400 0.801
Tm: 0.645 0.645 0.066
Sm: 0.072 0.400 0.799
Sm: 0.233 0.900 0.300
Sm: 0.729 0.072 0.799
Sm: 0.400 0.729 0.799
Sm: 0.900 0.567 0.300
Sm: 0.567 0.233 0.300
La: 0.900 0.900 0.300

Its electronic total energy is -4.42 eV/atom. The density of states at the Fermi level is 2.017 states/eV/atom. Its total magnetization is 0.0 μB/f.u.


4.
Computed, not measured: a relaxed structure of La3Sm4Tm2 at the PBE-GGA level of DFT.

Lattice parameters (Å, degrees): 6.878 10.221 10.221 59.99 86.61 86.61
Sites, in units of the cell vectors:
Sm: 0.245 0.794 0.894
Sm: 0.395 0.434 0.184
Sm: 0.745 0.894 0.794
Sm: 0.605 0.566 0.816
Sm: 0.895 0.184 0.434
Sm: 0.755 0.206 0.106
Sm: 0.105 0.816 0.566
Sm: 0.255 0.106 0.206
La: 0.250 0.518 0.482
La: 0.523 0.803 0.162
La: 0.977 0.838 0.197
La: 0.023 0.162 0.803
La: 0.477 0.197 0.838
La: 0.750 0.482 0.518
Tm: 0.880 0.542 0.123
Tm: 0.380 0.123 0.542
Tm: 0.120 0.458 0.877
Tm: 0.620 0.877 0.458

As for the energy above the lowest structure with this stoichiometry: 0.00 eV per formula unit. The density of states at the Fermi level is 1.566 states/eV/atom. Its total magnetization is 0.0 μB/f.u.


5.
Computed, not measured: a relaxed structure of La5Sm6Tm at the PBE-GGA level of DFT.

Lattice parameters (Å, degrees): 12.129 6.350 6.351 60.01 84.98 79.91
Sites, in units of the cell vectors:
Sm: 0.752 0.414 0.669
Sm: 0.248 0.250 0.000
Sm: 0.248 0.918 0.669
Sm: 0.752 0.082 0.331
Sm: 0.752 0.750 0.000
Sm: 0.248 0.586 0.331
La: 0.500 0.166 0.667
La: 0.500 0.500 0.000
La: 0.000 0.667 0.667
La: 0.000 0.333 0.333
La: 0.500 0.834 0.333
Tm: 0.000 0.000 0.000

Its electronic total energy is -4.77 eV/atom. The density of states at the Fermi level is 1.522 states/eV/atom. Its total magnetization is 0.0 μB/f.u.


6.
Computed, not measured: a relaxed structure of La4Sm5Tm at the PBE-GGA level of DFT.

Lattice parameters (Å, degrees): 3.600 11.471 8.895 89.50 101.68 90.00
Sites, in units of the cell vectors:
La: 0.660 0.251 0.320
La: 0.340 0.749 0.680
La: 0.970 0.248 0.939
La: 0.030 0.752 0.061
Sm: 0.828 0.050 0.657
Sm: 0.173 0.554 0.347
Sm: 0.172 0.950 0.343
Sm: 0.827 0.446 0.653
Sm: 0.500 0.500 0.000
Tm: 0.500 0.000 0.000

As for the energy above the lowest structure with this stoichiometry: 0.00 eV per formula unit. The density of states at the Fermi level is 1.543 states/eV/atom. Its total magnetization is 0.0 μB/f.u.